Entry 1:
The following is a SCAN calculation of a PBEsol-optimized structure of ScMn4W, from Alexandria via LeMat-Bulk.

Cell and atoms, written as extended XYZ:
```
6
Lattice="0.0000 3.3599 3.3599 3.3599 0.0000 3.3599 3.3599 3.3599 0.0000" Properties=species:S:1:pos:R:3 pbc="T T T"
Sc 0.0000 0.0000 0.0000
Mn 4.1996 2.5201 2.5201
Mn 2.5201 4.1996 2.5201
Mn 2.5201 2.5201 4.1996
Mn 4.1996 4.1996 4.1996
W 1.6799 1.6799 1.6799
```

Output
For the formation energy, the calculation gives 4 meV/atom. The value obtained for the calculated density is 9.82 g cm⁻³.

---

Entry 2:
The following is a SCAN calculation of a PBEsol-optimized structure of LaP2OF, from Alexandria via LeMat-Bulk.

Cell and atoms, written as extended XYZ:
```
5
Lattice="5.8514 0.0000 0.0000 0.0000 5.8514 0.0000 0.0000 0.0000 4.2147" Properties=species:S:1:pos:R:3 pbc="T T T"
La 0.0000 0.0000 0.0000
P 0.0000 2.9257 0.0000
P 2.9257 0.0000 0.0000
O 0.0000 0.0000 2.1073
F 2.9257 2.9257 2.1073
```

Output
As for the raw formation energy: -0.120 eV per formula unit. The value obtained for the calculated density is 2.71 g cm⁻³.

---

Entry 3:
The following is a SCAN calculation of a PBEsol-optimized structure of TiZnPdN2, from Alexandria via LeMat-Bulk.

Cell and atoms, written as extended XYZ:
```
5
Lattice="3.7787 0.0000 0.0000 0.0000 3.7787 0.0000 0.0000 0.0000 5.2045" Properties=species:S:1:pos:R:3 pbc="T T T"
Ti 0.0000 0.0000 0.0000
Zn 0.0000 0.0000 2.6022
Pd 1.8894 1.8894 2.6022
N 0.0000 1.8894 0.0000
N 1.8894 0.0000 0.0000
```

Output
As for the raw formation energy: 2.830 eV per formula unit. The value obtained for the calculated density is 5.54 g cm⁻³.